Material: LaCdH2
Method: DFT, meta-GGA SCAN
State: PBEsol geometry

Cell: 4.382 4.382 4.382 Å, 60.00 60.00 60.00°
Atoms (fractional coordinates):
Cd 0.000 0.000 0.000
H 0.250 0.250 0.250
H 0.750 0.750 0.750
La 0.500 0.500 0.500

## Properties
Its raw total energy is -20.352 eV per atom. The magnetic moment is 0.00 μB per formula unit. Its crystal system is cubic. For the density of states at the Fermi level, the calculation gives 1.51 states/eV per cell.